No. 1
Below is a relaxed Ba2ZnAg2 crystal, with properties calculated at the PBE level.

Properties
- polymorph energy (0 for the lowest one) (meV/atom) = 91
- energy relative to the elements (eV per atom) = -0.16
- calculated volume (Å³/cell) = 328.53
- N(E_F) (states/eV per cell) = 6.450

The structure in CIF format:
```
data_Ba2ZnAg2
_chemical_formula_sum 'Ba4 Zn2 Ag4'
_space_group_name_H-M_alt 'P 4/m b m'
_space_group_IT_number 127
_space_group_name_Hall '-P 4 2ab'
_cell_length_a 8.403
_cell_length_b 8.403
_cell_length_c 4.652
_cell_angle_alpha 90.00
_cell_angle_beta 90.00
_cell_angle_gamma 90.00
loop_
_atom_site_label
_atom_site_type_symbol
_atom_site_fract_x
_atom_site_fract_y
_atom_site_fract_z
_atom_site_occupancy
Ba1 Ba 0.181 0.319 0.000 1
Zn1 Zn 0.000 0.000 0.500 1
Ag1 Ag 0.120 0.620 0.500 1
```

---

No. 2
Below is a relaxed SrMgPH crystal, with properties calculated at the PBE level.

Properties
- calculated volume (Å³/cell) = 76.48
- N(E_F) (states/eV per cell) = 0.000
- total energy (eV/atom) = -3.80

The structure in CIF format:
```
data_SrMgPH
_chemical_formula_sum 'Sr1 Mg1 P1 H1'
_space_group_name_H-M_alt 'P 3 m 1'
_space_group_IT_number 156
_cell_length_a 4.3213
_cell_length_b 4.3213
_cell_length_c 4.7303
_cell_angle_alpha 90.00
_cell_angle_beta 90.00
_cell_angle_gamma 120.00
loop_
_space_group_symop_operation_xyz
'x,y,z'
'-y,x-y,z'
'-x+y,-x,z'
'-y,-x,z'
'-x+y,y,z'
'x,x-y,z'
loop_
_atom_site_label
_atom_site_type_symbol
_atom_site_fract_x
_atom_site_fract_y
_atom_site_fract_z
_atom_site_occupancy
Sr1 Sr 0.0000 0.0000 0.0000 1
Mg1 Mg 0.6667 0.3333 0.5213 1
P1 P 0.3333 0.6667 0.4514 1
H1 H 0.6667 0.3333 0.9408 1
```

---

No. 3
Below is a relaxed NaTiCI2 crystal, with properties calculated at the PBE level.

Properties
- calculated volume (Å³/cell) = 201.72
- N(E_F) (states/eV per cell) = 3.311
- E_form (uncorrected) (eV per atom) = 1.2511

The structure in CIF format:
```
data_NaTiCI2
_chemical_formula_sum 'Na1 Ti1 C1 I2'
_space_group_name_H-M_alt 'P 4/m m m'
_space_group_IT_number 123
_space_group_name_Hall '-P 4 2'
_cell_length_a 5.366
_cell_length_b 5.366
_cell_length_c 7.005
_cell_angle_alpha 90.00
_cell_angle_beta 90.00
_cell_angle_gamma 90.00
loop_
_atom_site_label
_atom_site_type_symbol
_atom_site_fract_x
_atom_site_fract_y
_atom_site_fract_z
_atom_site_occupancy
Na1 Na 0.000 0.000 0.000 1
Ti1 Ti 0.000 0.000 0.500 1
C1 C 0.500 0.500 0.000 1
I1 I 0.000 0.500 0.500 1
```